5
Lattice="-1.138 -2.814 -2.934 -0.948 -2.756 3.012 -3.952 1.482 0.112" Properties=species:S:1:pos:R:3 comment="HfMgNF2, relaxed, DFT PBE" total_energy_ev_per_atom=-6.55 e_form_raw_ev_per_atom=-1.825 m_tot_mub_per_atom=0.061 dos_at_fermi_per_ev_atom=0.3496 e_above_lowest_polymorph_ev_per_fu=0.00 sg="No. 123" rho_g_cm3=5.664 pbc="T T T"
Mg -3.019 -2.044 0.095
N -0.474 -1.378 1.506
Hf 0.000 0.000 0.000
F -1.976 0.741 0.056
F -0.569 -1.407 -1.467